# Ca2VRhO6 (GGA+U, optimized geometry)
# Crystal system   monoclinic
# Total energy   -139.080 eV/cell
# Space-group type   P2_1/c (14)
data_Ca2VRhO6
_space_group_name_H-M_alt 'P 1'
_space_group_IT_number 1
_cell_length_a 5.366
_cell_length_b 5.520
_cell_length_c 9.328
_cell_angle_alpha 90.00
_cell_angle_beta 124.83
_cell_angle_gamma 90.00
loop_
_space_group_symop_operation_xyz
'x,y,z'
loop_
_atom_site_label
_atom_site_fract_x
_atom_site_fract_y
_atom_site_fract_z
_atom_site_occupancy
Ca1 0.236 0.055 0.249 1
Ca2 0.236 0.445 0.749 1
Ca3 0.764 0.555 0.251 1
Ca4 0.764 0.945 0.751 1
V1 0.500 0.000 0.000 1
V2 0.500 0.500 0.500 1
Rh1 0.000 0.000 0.500 1
Rh2 0.000 0.500 0.000 1
O1 0.167 0.194 0.957 1
O2 0.167 0.306 0.457 1
O3 0.261 0.714 0.953 1
O4 0.261 0.786 0.453 1
O5 0.348 0.022 0.759 1
O6 0.348 0.478 0.259 1
O7 0.652 0.522 0.741 1
O8 0.652 0.978 0.241 1
O9 0.739 0.214 0.547 1
O10 0.739 0.286 0.047 1
O11 0.833 0.694 0.543 1
O12 0.833 0.806 0.043 1


# CaVRhO6 (GGA+U, optimized geometry)
# Crystal system   trigonal
# Total energy   -61.213 eV/cell
# Space-group type   P312 (149)
data_CaVRhO6
_space_group_name_H-M_alt 'P 1'
_space_group_IT_number 1
_cell_length_a 5.133
_cell_length_b 5.133
_cell_length_c 5.045
_cell_angle_alpha 90.00
_cell_angle_beta 90.00
_cell_angle_gamma 120.00
loop_
_space_group_symop_operation_xyz
'x,y,z'
loop_
_atom_site_label
_atom_site_fract_x
_atom_site_fract_y
_atom_site_fract_z
_atom_site_occupancy
Ca1 0.000 0.000 0.000 1
V1 0.333 0.667 0.500 1
Rh1 0.667 0.333 0.500 1
O1 0.011 0.373 0.708 1
O2 0.011 0.638 0.292 1
O3 0.362 0.373 0.292 1
O4 0.362 0.989 0.708 1
O5 0.627 0.638 0.708 1
O6 0.627 0.989 0.292 1